Record 1
A relaxed Cu2HgAu2 crystal, computed with PBE.

## Properties
calculated formation energy: 0.1184 eV per atom
E above lowest polymorph: 69.3 meV per atom
M_tot: 0.000 Bohr magnetons per cell

Cell lengths 3.612, 3.612, 13.730 Å; angles 90.00, 90.00, 90.00 degrees
Space group I4/mmm (No. 139)
Inequivalent atoms, fractional coordinates:
Cu1 0.000 0.500 0.250 (multiplicity 4)
Hg1 0.000 0.000 0.000 (multiplicity 2)
Au1 0.000 0.000 0.391 (multiplicity 4)

Record 2
A relaxed Cu4HgAu crystal, computed with PBE.

## Properties
calculated formation energy: 0.0928 eV per atom
M_tot: 0.000 Bohr magnetons per cell

Cell lengths 7.052, 7.052, 7.052 Å; angles 90.00, 90.00, 90.00 degrees
Space group F-43m (No. 216)
Inequivalent atoms, fractional coordinates:
Cu1 0.125 0.125 0.125 (multiplicity 16)
Hg1 0.000 0.000 0.500 (multiplicity 4)
Au1 0.250 0.250 0.750 (multiplicity 4)

Record 3
A relaxed CuHg2Au crystal, computed with PBE.

## Properties
calculated formation energy: 0.1846 eV per atom
E above lowest polymorph: 94.3 meV per atom
M_tot: 0.000 Bohr magnetons per cell

Cell lengths 6.714, 6.714, 6.714 Å; angles 90.00, 90.00, 90.00 degrees
Space group Fm-3m (No. 225)
Inequivalent atoms, fractional coordinates:
Cu1 0.000 0.000 0.000 (multiplicity 4)
Hg1 0.250 0.250 0.250 (multiplicity 8)
Au1 0.000 0.000 0.500 (multiplicity 4)

Record 4
A relaxed CuHgAu6 crystal, computed with PBE.

## Properties
calculated formation energy: 0.0226 eV per atom
E above lowest polymorph: 0.0 meV per atom
M_tot: 0.000 Bohr magnetons per cell

Cell lengths 9.423, 3.946, 8.509 Å; angles 90.00, 114.61, 90.00 degrees
Space group C2/m (No. 12)
Inequivalent atoms, fractional coordinates:
Cu1 0.000 0.000 0.000 (multiplicity 2)
Hg1 0.000 0.000 0.500 (multiplicity 2)
Au1 0.005 0.500 0.769 (multiplicity 4)
Au2 0.243 0.000 0.366 (multiplicity 4)
Au3 0.244 0.500 0.118 (multiplicity 4)

Record 5
A relaxed Cu2HgAu crystal, computed with PBE.

## Properties
calculated formation energy: 0.0802 eV per atom
M_tot: 0.000 Bohr magnetons per cell

Cell lengths 4.218, 4.218, 3.584 Å; angles 90.00, 90.00, 90.00 degrees
Space group P4/mmm (No. 123)
Inequivalent atoms, fractional coordinates:
Cu1 0.000 0.500 0.000 (multiplicity 2)
Hg1 0.000 0.000 0.500 (multiplicity 1)
Au1 0.500 0.500 0.500 (multiplicity 1)

Record 6
A relaxed CuHg4Au crystal, computed with PBE.

## Properties
calculated formation energy: 0.4951 eV per atom
M_tot: 0.000 Bohr magnetons per cell

Cell lengths 8.222, 8.222, 8.222 Å; angles 90.00, 90.00, 90.00 degrees
Space group F-43m (No. 216)
Inequivalent atoms, fractional coordinates:
Cu1 0.000 0.000 0.000 (multiplicity 4)
Hg1 0.125 0.125 0.625 (multiplicity 16)
Au1 0.250 0.250 0.250 (multiplicity 4)

Record 7
A relaxed CuHg2Au crystal, computed with PBE.

## Properties
calculated formation energy: 0.2372 eV per atom
E above lowest polymorph: 146.8 meV per atom
M_tot: 0.000 Bohr magnetons per cell

Cell lengths 4.186, 4.186, 19.310 Å; angles 90.00, 90.00, 90.00 degrees
Space group I-42d (No. 122)
Inequivalent atoms, fractional coordinates:
Cu1 0.000 0.000 0.000 (multiplicity 4)
Hg1 0.241 0.250 0.125 (multiplicity 8)
Au1 0.000 0.000 0.500 (multiplicity 4)

Record 8
A relaxed Cu2HgAu crystal, computed with PBE.

## Properties
calculated formation energy: 0.1706 eV per atom
M_tot: 0.000 Bohr magnetons per cell

Cell lengths 2.9995, 2.9995, 25.4832 Å; angles 90.00, 90.00, 120.00 degrees
Space group R3m (No. 160, hexagonal axes)
Inequivalent atoms, fractional coordinates:
Cu1 0.0000 0.0000 0.0000 (multiplicity 3)
Cu2 0.0000 0.0000 0.1619 (multiplicity 3)
Hg1 0.0000 0.0000 0.5811 (multiplicity 3)
Au1 0.0000 0.0000 0.4141 (multiplicity 3)

Record 9
A relaxed Cu2HgAu8 crystal, computed with PBE.

## Properties
calculated formation energy: 0.0126 eV per atom
M_tot: 0.000 Bohr magnetons per cell

Cell lengths 14.675, 4.102, 6.700 Å; angles 90.00, 107.21, 90.00 degrees
Space group C2/m (No. 12)
Inequivalent atoms, fractional coordinates:
Cu1 0.225 0.000 0.142 (multiplicity 4)
Hg1 0.000 0.500 0.500 (multiplicity 2)
Au1 0.047 0.000 0.222 (multiplicity 4)
Au2 0.104 0.500 0.970 (multiplicity 4)
Au3 0.150 0.000 0.716 (multiplicity 4)
Au4 0.182 0.500 0.422 (multiplicity 4)

Record 10
A relaxed Cu2HgAu crystal, computed with PBE.

## Properties
calculated formation energy: 0.1428 eV per atom
M_tot: 0.000 Bohr magnetons per cell

Cell lengths 8.550, 2.931, 5.381 Å; angles 90.00, 100.77, 90.00 degrees
Space group C2/m (No. 12)
Inequivalent atoms, fractional coordinates:
Cu1 0.248 0.000 0.228 (multiplicity 4)
Hg1 0.000 0.000 0.500 (multiplicity 2)
Au1 0.000 0.500 0.000 (multiplicity 2)

Record 11
A relaxed Cu2HgAu crystal, computed with PBE.

## Properties
calculated formation energy: 0.1549 eV per atom
M_tot: 0.000 Bohr magnetons per cell

Cell lengths 6.392, 6.392, 6.392 Å; angles 90.00, 90.00, 90.00 degrees
Space group F-43m (No. 216)
Inequivalent atoms, fractional coordinates:
Cu1 0.000 0.000 0.000 (multiplicity 4)
Cu2 0.250 0.250 0.250 (multiplicity 4)
Hg1 0.000 0.000 0.500 (multiplicity 4)
Au1 0.250 0.250 0.750 (multiplicity 4)

Record 12
A relaxed Cu2HgAu2 crystal, computed with PBE.

## Properties
calculated formation energy: 0.0492 eV per atom
E above lowest polymorph: 0.0 meV per atom
M_tot: 0.000 Bohr magnetons per cell

Cell lengths 7.273, 7.273, 3.187 Å; angles 90.00, 90.00, 90.00 degrees
Space group P4/mbm (No. 127)
Inequivalent atoms, fractional coordinates:
Cu1 0.128 0.372 0.000 (multiplicity 4)
Hg1 0.000 0.000 0.000 (multiplicity 2)
Au1 0.164 0.664 0.500 (multiplicity 4)

Record 13
A relaxed CuHg2Au crystal, computed with PBE.

## Properties
calculated formation energy: 0.1724 eV per atom
E above lowest polymorph: 82.0 meV per atom
M_tot: 0.000 Bohr magnetons per cell

Cell lengths 3.1164, 3.1164, 27.3521 Å; angles 90.00, 90.00, 120.00 degrees
Space group R-3m (No. 166, hexagonal axes)
Inequivalent atoms, fractional coordinates:
Cu1 0.0000 0.0000 0.0000 (multiplicity 3)
Hg1 0.0000 0.0000 0.2563 (multiplicity 6)
Au1 0.0000 0.0000 0.5000 (multiplicity 3)

Record 14
A relaxed HoCuHgAu crystal, computed with PBE.

## Properties
calculated formation energy: -0.3771 eV per atom
M_tot: 0.000 Bohr magnetons per cell

Cell lengths 6.830, 6.830, 6.830 Å; angles 90.00, 90.00, 90.00 degrees
Space group F-43m (No. 216)
Inequivalent atoms, fractional coordinates:
Ho1 0.000 0.000 0.000 (multiplicity 4)
Cu1 0.250 0.250 0.750 (multiplicity 4)
Hg1 0.000 0.000 0.500 (multiplicity 4)
Au1 0.250 0.250 0.250 (multiplicity 4)

Record 15
A relaxed K2CuHgAu crystal, computed with PBE.

## Properties
calculated formation energy: 0.0266 eV per atom
M_tot: 0.000 Bohr magnetons per cell

Cell lengths 6.267, 6.267, 4.960 Å; angles 90.00, 90.00, 90.00 degrees
Space group P4/mmm (No. 123)
Inequivalent atoms, fractional coordinates:
K1 0.000 0.500 0.000 (multiplicity 2)
Cu1 0.000 0.000 0.500 (multiplicity 1)
Hg1 0.500 0.500 0.500 (multiplicity 1)
Au1 0.000 0.000 0.000 (multiplicity 1)

Record 16
A relaxed KCuHgAu2 crystal, computed with PBE.

## Properties
calculated formation energy: -0.0435 eV per atom
M_tot: 0.000 Bohr magnetons per cell

Cell lengths 5.071, 5.071, 5.076 Å; angles 90.00, 90.00, 90.00 degrees
Space group P4/mmm (No. 123)
Inequivalent atoms, fractional coordinates:
K1 0.000 0.000 0.000 (multiplicity 1)
Cu1 0.500 0.500 0.500 (multiplicity 1)
Hg1 0.500 0.500 0.000 (multiplicity 1)
Au1 0.000 0.500 0.500 (multiplicity 2)

Record 17
A relaxed LuCuHgAu crystal, computed with PBE.

## Properties
calculated formation energy: -0.3669 eV per atom
M_tot: 0.000 Bohr magnetons per cell

Cell lengths 6.764, 6.764, 6.764 Å; angles 90.00, 90.00, 90.00 degrees
Space group F-43m (No. 216)
Inequivalent atoms, fractional coordinates:
Lu1 0.000 0.000 0.000 (multiplicity 4)
Cu1 0.250 0.250 0.250 (multiplicity 4)
Hg1 0.000 0.000 0.500 (multiplicity 4)
Au1 0.250 0.250 0.750 (multiplicity 4)

Record 18
A relaxed Mn2CuHgAu crystal, computed with PBE.

## Properties
calculated formation energy: 1.2591 eV per atom
M_tot: 8.803 Bohr magnetons per cell

Cell lengths 5.052, 5.052, 5.171 Å; angles 90.00, 90.00, 90.00 degrees
Space group P4/mmm (No. 123)
Inequivalent atoms, fractional coordinates:
Mn1 0.000 0.500 0.000 (multiplicity 2)
Cu1 0.000 0.000 0.500 (multiplicity 1)
Hg1 0.500 0.500 0.000 (multiplicity 1)
Au1 0.500 0.500 0.500 (multiplicity 1)

Record 19
A relaxed NaCuHg2Au crystal, computed with PBE.

## Properties
calculated formation energy: 0.0204 eV per atom
M_tot: 0.000 Bohr magnetons per cell

Cell lengths 5.086, 5.086, 5.025 Å; angles 90.00, 90.00, 90.00 degrees
Space group P4/mmm (No. 123)
Inequivalent atoms, fractional coordinates:
Na1 0.000 0.000 0.000 (multiplicity 1)
Cu1 0.500 0.500 0.500 (multiplicity 1)
Hg1 0.000 0.500 0.500 (multiplicity 2)
Au1 0.500 0.500 0.000 (multiplicity 1)

Record 20
A relaxed Na2CuHgAu crystal, computed with PBE.

## Properties
calculated formation energy: 0.0979 eV per atom
M_tot: 0.000 Bohr magnetons per cell

Cell lengths 5.364, 5.364, 4.855 Å; angles 90.00, 90.00, 90.00 degrees
Space group P4/mmm (No. 123)
Inequivalent atoms, fractional coordinates:
Na1 0.000 0.500 0.000 (multiplicity 2)
Cu1 0.000 0.000 0.000 (multiplicity 1)
Hg1 0.500 0.500 0.500 (multiplicity 1)
Au1 0.000 0.000 0.500 (multiplicity 1)

Record 21
A relaxed CuNiHgAu crystal, computed with PBE.

## Properties
calculated formation energy: 0.1075 eV per atom
M_tot: 0.000 Bohr magnetons per cell

Cell lengths 6.276, 6.276, 6.276 Å; angles 90.00, 90.00, 90.00 degrees
Space group F-43m (No. 216)
Inequivalent atoms, fractional coordinates:
Cu1 0.000 0.000 0.000 (multiplicity 4)
Ni1 0.000 0.000 0.500 (multiplicity 4)
Hg1 0.250 0.250 0.250 (multiplicity 4)
Au1 0.250 0.250 0.750 (multiplicity 4)

Record 22
A relaxed CuHg2AuO4 crystal, computed with PBE.

## Properties
energy relative to the elements, uncorrected: -0.15 eV per atom
M_tot: 0.302 Bohr magnetons per cell

Cell lengths 5.957, 5.957, 6.656 Å; angles 90.00, 90.00, 90.00 degrees
Space group I-4 (No. 82)
Inequivalent atoms, fractional coordinates:
Cu1 0.000 0.000 0.000 (multiplicity 2)
Hg1 0.000 0.000 0.500 (multiplicity 2)
Hg2 0.000 0.500 0.250 (multiplicity 2)
Au1 0.000 0.500 0.750 (multiplicity 2)
O1 0.144 0.182 0.784 (multiplicity 8)

Record 23
A relaxed CuHgOs2Au crystal, computed with PBE.

## Properties
calculated formation energy: 2.1537 eV per atom
E above lowest polymorph: 0.0 meV per atom
M_tot: 3.903 Bohr magnetons per cell

Cell lengths 4.948, 4.948, 4.683 Å; angles 90.00, 90.00, 90.00 degrees
Space group P4/mmm (No. 123)
Inequivalent atoms, fractional coordinates:
Cu1 0.000 0.000 0.000 (multiplicity 1)
Hg1 0.500 0.500 0.000 (multiplicity 1)
Os1 0.000 0.500 0.500 (multiplicity 2)
Au1 0.000 0.000 0.500 (multiplicity 1)

Record 24
A relaxed CuHgOs2Au crystal, computed with PBE.

## Properties
calculated formation energy: 2.4465 eV per atom
E above lowest polymorph: 292.9 meV per atom
M_tot: 4.667 Bohr magnetons per cell

Cell lengths 4.986, 4.986, 5.121 Å; angles 90.00, 90.00, 90.00 degrees
Space group P4/mmm (No. 123)
Inequivalent atoms, fractional coordinates:
Cu1 0.000 0.000 0.000 (multiplicity 1)
Hg1 0.500 0.500 0.000 (multiplicity 1)
Os1 0.000 0.500 0.500 (multiplicity 2)
Au1 0.500 0.500 0.500 (multiplicity 1)

Record 25
A relaxed PaCuHgAu crystal, computed with PBE.

## Properties
calculated formation energy: -0.1105 eV per atom
M_tot: 0.007 Bohr magnetons per cell

Cell lengths 6.877, 6.877, 6.877 Å; angles 90.00, 90.00, 90.00 degrees
Space group F-43m (No. 216)
Inequivalent atoms, fractional coordinates:
Pa1 0.000 0.000 0.000 (multiplicity 4)
Cu1 0.250 0.250 0.250 (multiplicity 4)
Hg1 0.000 0.000 0.500 (multiplicity 4)
Au1 0.250 0.250 0.750 (multiplicity 4)

Record 26
A relaxed CuHgPb2Au crystal, computed with PBE.

## Properties
calculated formation energy: 0.6677 eV per atom
M_tot: 0.000 Bohr magnetons per cell

Cell lengths 5.707, 5.707, 4.839 Å; angles 90.00, 90.00, 90.00 degrees
Space group P4/mmm (No. 123)
Inequivalent atoms, fractional coordinates:
Cu1 0.000 0.000 0.000 (multiplicity 1)
Hg1 0.000 0.000 0.500 (multiplicity 1)
Pb1 0.000 0.500 0.500 (multiplicity 2)
Au1 0.500 0.500 0.000 (multiplicity 1)

Record 27
A relaxed CuHgPbAu2 crystal, computed with PBE.

## Properties
calculated formation energy: 0.3180 eV per atom
M_tot: 0.000 Bohr magnetons per cell

Cell lengths 4.947, 4.947, 5.096 Å; angles 90.00, 90.00, 90.00 degrees
Space group P4/mmm (No. 123)
Inequivalent atoms, fractional coordinates:
Cu1 0.000 0.000 0.000 (multiplicity 1)
Hg1 0.500 0.500 0.500 (multiplicity 1)
Pb1 0.000 0.000 0.500 (multiplicity 1)
Au1 0.000 0.500 0.000 (multiplicity 2)

Record 28
A relaxed PmCuHgAu crystal, computed with PBE.

## Properties
calculated formation energy: -0.3586 eV per atom
M_tot: 0.000 Bohr magnetons per cell

Cell lengths 6.962, 6.962, 6.962 Å; angles 90.00, 90.00, 90.00 degrees
Space group F-43m (No. 216)
Inequivalent atoms, fractional coordinates:
Pm1 0.000 0.000 0.000 (multiplicity 4)
Cu1 0.250 0.250 0.250 (multiplicity 4)
Hg1 0.000 0.000 0.500 (multiplicity 4)
Au1 0.250 0.250 0.750 (multiplicity 4)